No. 1
# CaAlF3 | Alexandria via LeMat-Bulk | GGA-PBEsol | relaxed
# Energy relative to the elements, uncorrected (eV per atom): -2.329
data_CaAlF3
_chemical_formula_sum 'Ca1 Al1 F3'
_cell_length_a 4.212
_cell_length_b 4.212
_cell_length_c 4.212
_cell_angle_alpha 90.00
_cell_angle_beta 90.00
_cell_angle_gamma 90.00
_symmetry_space_group_name_H-M 'P m -3 m'
_symmetry_Int_Tables_number 221
_symmetry_space_group_name_Hall '-P 4 2 3'
loop_
_atom_site_label
_atom_site_type_symbol
_atom_site_fract_x
_atom_site_fract_y
_atom_site_fract_z
Ca1 Ca 0.000 0.000 0.000
Al1 Al 0.500 0.500 0.500
F1 F 0.000 0.500 0.500



No. 2
# CaAlF5 | Alexandria via LeMat-Bulk | GGA-PBEsol | relaxed
# Energy relative to the elements, uncorrected (eV per atom): -3.752
# Relative energy among the computed polymorphs (meV per atom): 0.0
data_CaAlF5
_chemical_formula_sum 'Ca4 Al4 F20'
_cell_length_a 8.711
_cell_length_b 6.312
_cell_length_c 7.336
_cell_angle_alpha 90.00
_cell_angle_beta 114.96
_cell_angle_gamma 90.00
_symmetry_space_group_name_H-M 'C 1 2/c 1'
_symmetry_Int_Tables_number 15
loop_
_symmetry_equiv_pos_as_xyz
'x,y,z'
'-x,-y,-z'
'-x,y,-z+1/2'
'x,-y,z+1/2'
'x+1/2,y+1/2,z'
'-x+1/2,-y+1/2,-z'
'-x+1/2,y+1/2,-z+1/2'
'x+1/2,-y+1/2,z+1/2'
loop_
_atom_site_label
_atom_site_type_symbol
_atom_site_fract_x
_atom_site_fract_y
_atom_site_fract_z
Ca1 Ca 0.000 0.045 0.250
Al1 Al 0.000 0.500 0.000
F1 F 0.000 0.439 0.250
F2 F 0.011 0.215 0.972
F3 F 0.223 0.482 0.614



No. 3
# Ca2AlF7 | Alexandria via LeMat-Bulk | GGA-PBEsol | relaxed
# Energy relative to the elements, uncorrected (eV per atom): -3.817
data_Ca2AlF7
_chemical_formula_sum 'Ca8 Al4 F28'
_cell_length_a 7.671
_cell_length_b 6.990
_cell_length_c 9.500
_cell_angle_alpha 90.00
_cell_angle_beta 90.00
_cell_angle_gamma 90.00
_symmetry_space_group_name_H-M 'P n m a'
_symmetry_Int_Tables_number 62
loop_
_symmetry_equiv_pos_as_xyz
'x,y,z'
'-x,-y,-z'
'-x+1/2,-y,z+1/2'
'x+1/2,y,-z+1/2'
'x+1/2,-y+1/2,-z+1/2'
'-x+1/2,y+1/2,z+1/2'
'-x,y+1/2,-z'
'x,-y+1/2,z'
loop_
_atom_site_label
_atom_site_type_symbol
_atom_site_fract_x
_atom_site_fract_y
_atom_site_fract_z
Ca1 Ca 0.117 0.250 0.242
Ca2 Ca 0.194 0.750 0.395
Al1 Al 0.188 0.750 0.057
F1 F 0.034 0.250 0.009
F2 F 0.097 0.250 0.630
F3 F 0.126 0.750 0.629
F4 F 0.129 0.571 0.187
F5 F 0.250 0.073 0.425



No. 4
# CaAl2F10 | Alexandria via LeMat-Bulk | GGA-PBEsol | relaxed
# Energy relative to the elements, uncorrected (eV per atom): -2.996
data_CaAl2F10
_chemical_formula_sum 'Ca2 Al4 F20'
_cell_length_a 8.950
_cell_length_b 6.338
_cell_length_c 7.154
_cell_angle_alpha 90.00
_cell_angle_beta 116.83
_cell_angle_gamma 90.00
_symmetry_space_group_name_H-M 'C 1 2 1'
_symmetry_Int_Tables_number 5
loop_
_symmetry_equiv_pos_as_xyz
'x,y,z'
'-x,y,-z'
'x+1/2,y+1/2,z'
'-x+1/2,y+1/2,-z'
loop_
_atom_site_label
_atom_site_type_symbol
_atom_site_fract_x
_atom_site_fract_y
_atom_site_fract_z
Ca1 Ca 0.000 0.000 0.000
Al1 Al 0.008 0.481 0.753
F1 F 0.000 0.392 0.000
F2 F 0.000 0.532 0.500
F3 F 0.009 0.189 0.710
F4 F 0.053 0.733 0.220
F5 F 0.200 0.355 0.381
F6 F 0.225 0.504 0.889



No. 5
# NaCaAlH2OF6 | Alexandria via LeMat-Bulk | GGA-PBEsol | relaxed
# DFT total energy (eV per atom): -5.522
data_NaCaAlH2OF6
_chemical_formula_sum 'Na8 Ca8 Al8 H16 O8 F48'
_cell_length_a 12.097
_cell_length_b 10.350
_cell_length_c 9.823
_cell_angle_alpha 90.00
_cell_angle_beta 127.47
_cell_angle_gamma 90.00
_symmetry_space_group_name_H-M 'C 1 2/c 1'
_symmetry_Int_Tables_number 15
loop_
_symmetry_equiv_pos_as_xyz
'x,y,z'
'-x,-y,-z'
'-x,y,-z+1/2'
'x,-y,z+1/2'
'x+1/2,y+1/2,z'
'-x+1/2,-y+1/2,-z'
'-x+1/2,y+1/2,-z+1/2'
'x+1/2,-y+1/2,z+1/2'
loop_
_atom_site_label
_atom_site_type_symbol
_atom_site_fract_x
_atom_site_fract_y
_atom_site_fract_z
Na1 Na 0.115 0.121 0.493
Ca1 Ca 0.000 0.187 0.750
Ca2 Ca 0.000 0.424 0.250
Al1 Al 0.223 0.123 0.256
H1 H 0.125 0.398 0.038
H2 H 0.204 0.384 0.957
O1 O 0.110 0.378 0.929
F1 F 0.088 0.240 0.198
F2 F 0.101 0.000 0.220
F3 F 0.153 0.107 0.029
F4 F 0.154 0.496 0.199
F5 F 0.161 0.252 0.714
F6 F 0.200 0.366 0.519



No. 6
# NaCaAlH2OF6 | Alexandria via LeMat-Bulk | GGA-PBEsol | relaxed
# DFT total energy (eV per atom): -5.522
data_NaCaAlH2OF6
_chemical_formula_sum 'Na4 Ca4 Al4 H8 O4 F24'
_cell_length_a 5.565
_cell_length_b 5.478
_cell_length_c 16.095
_cell_angle_alpha 90.00
_cell_angle_beta 95.55
_cell_angle_gamma 90.00
_symmetry_space_group_name_H-M 'P 1 21/c 1'
_symmetry_Int_Tables_number 14
loop_
_symmetry_equiv_pos_as_xyz
'x,y,z'
'-x,-y,-z'
'-x,y+1/2,-z+1/2'
'x,-y+1/2,z+1/2'
loop_
_atom_site_label
_atom_site_type_symbol
_atom_site_fract_x
_atom_site_fract_y
_atom_site_fract_z
Na1 Na 0.245 0.125 0.253
Ca1 Ca 0.309 0.660 0.403
Al1 Al 0.222 0.662 0.139
H1 H 0.195 0.092 0.053
H2 H 0.253 0.172 0.502
O1 O 0.298 0.154 0.010
F1 F 0.055 0.546 0.624
F2 F 0.056 0.509 0.873
F3 F 0.183 0.687 0.250
F4 F 0.251 0.642 0.029
F5 F 0.411 0.103 0.660
F6 F 0.492 0.648 0.656



Q: Which magnetic moment values were calculated for the entries above? A: 0.0; 0.0; 0.0; 4.3; 0.5; 0.2, in μB/cell.